Entry 1:
First-principles (PBE) data for a relaxed MgTc2P crystal, as listed in Alexandria.

Cell lengths 7.2385, 7.2385, 5.0061 Å; angles 90.00, 90.00, 90.00 degrees
With the nearest neighbours (Å) after each atom.
Sites, in units of the cell vectors:
1 Mg 0.0000 0.0000 0.0000  2 P 2.50
2 Mg 0.0000 0.5000 0.2500  2 P 2.50
3 Mg 0.5000 0.0000 0.7500  2 P 2.50
4 Mg 0.5000 0.5000 0.5000  2 P 2.50
5 Tc 0.1689 0.7500 0.6250  2 P 2.27
6 Tc 0.2500 0.1689 0.3750  2 P 2.27
7 Tc 0.2500 0.3311 0.8750  2 P 2.27
8 Tc 0.3311 0.7500 0.1250  2 P 2.27
9 Tc 0.6689 0.2500 0.1250  2 P 2.27
10 Tc 0.7500 0.6689 0.8750  2 P 2.27
11 Tc 0.7500 0.8311 0.3750  2 P 2.27
12 Tc 0.8311 0.2500 0.6250  2 P 2.27
13 P 0.0000 0.0000 0.5000  4 Tc 2.27, 2 Mg 2.50
14 P 0.0000 0.5000 0.7500  4 Tc 2.27, 2 Mg 2.50
15 P 0.5000 0.0000 0.2500  4 Tc 2.27, 2 Mg 2.50
16 P 0.5000 0.5000 0.0000  4 Tc 2.27, 2 Mg 2.50

Results
For the total magnetic moment, the calculation gives 0.0 μB per cell. The formation energy comes out at 93 meV per atom. The density of states at the Fermi level is 24.3 states/eV per cell. Its polymorph energy (0 for the lowest one) is 423.5 meV/atom. The value obtained for the volume is 16.39 Å³ per atom.


Entry 2:
First-principles (PBE) data for a relaxed Al4ReOs crystal, as listed in Alexandria.

Cell lengths 4.9303, 4.9303, 4.9303 Å; angles 60.00, 60.00, 60.00 degrees
With the nearest neighbours (Å) after each atom.
Sites, in units of the cell vectors:
1 Al 0.1249 0.1249 0.1249  6 Al 2.46-2.47
2 Al 0.1249 0.1249 0.6254  6 Al 2.46-2.47
3 Al 0.1249 0.6254 0.1249  6 Al 2.46-2.47
4 Al 0.6254 0.1249 0.1249  6 Al 2.46-2.47
5 Re 0.5000 0.5000 0.5000  12 Al 2.89, 4 Os 3.02
6 Os 0.7500 0.7500 0.7500  12 Al 2.89, 4 Re 3.02

Results
For the total magnetic moment, the calculation gives 0.0 μB per cell. The formation energy comes out at 198 meV per atom. The density of states at the Fermi level is 1.9 states/eV per cell. The value obtained for the volume is 14.12 Å³ per atom.


Entry 3:
First-principles (PBE) data for a relaxed Te2PAu crystal, as listed in Alexandria.

Cell lengths 4.0809, 4.0809, 5.6872 Å; angles 90.00, 90.00, 90.00 degrees
With the nearest neighbours (Å) after each atom.
Sites, in units of the cell vectors:
1 Te 0.0000 0.0000 0.0000  2 P 2.84, 4 Au 2.89
2 Te 0.5000 0.5000 0.5000  2 Au 2.84, 4 P 2.89
3 P 0.0000 0.0000 0.5000  6 Te 2.84-2.89
4 Au 0.5000 0.5000 0.0000  6 Te 2.84-2.89

Results
For the total magnetic moment, the calculation gives 0.0 μB per cell. The uncorrected formation energy comes out at 0.11 eV per atom. The density of states at the Fermi level is 1.7 states/eV per cell. The value obtained for the volume is 23.68 Å³ per atom.


Entry 4:
First-principles (PBE) data for a relaxed Ta2CrC crystal, as listed in Alexandria.

Cell lengths 7.6515, 7.6515, 4.0044 Å; angles 90.00, 90.00, 90.00 degrees
With the nearest neighbours (Å) after each atom.
Sites, in units of the cell vectors:
1 Ta 0.1147 0.2500 0.1250  2 C 2.16
2 Ta 0.2500 0.6147 0.3750  2 C 2.16
3 Ta 0.2500 0.8853 0.8750  2 C 2.16
4 Ta 0.3853 0.2500 0.6250  2 C 2.16
5 Ta 0.6147 0.7500 0.6250  2 C 2.16
6 Ta 0.7500 0.1147 0.8750  2 C 2.16
7 Ta 0.7500 0.3853 0.3750  2 C 2.16
8 Ta 0.8853 0.7500 0.1250  2 C 2.16
9 Cr 0.0000 0.0000 0.5000  2 C 2.00
10 Cr 0.0000 0.5000 0.7500  2 C 2.00
11 Cr 0.5000 0.0000 0.2500  2 C 2.00
12 Cr 0.5000 0.5000 0.0000  2 C 2.00
13 C 0.0000 0.0000 0.0000  2 Cr 2.00, 4 Ta 2.16
14 C 0.0000 0.5000 0.2500  2 Cr 2.00, 4 Ta 2.16
15 C 0.5000 0.0000 0.7500  2 Cr 2.00, 4 Ta 2.16
16 C 0.5000 0.5000 0.5000  2 Cr 2.00, 4 Ta 2.16

Results
For the total magnetic moment, the calculation gives 0.0 μB per cell. The formation energy comes out at 174 meV per atom. The density of states at the Fermi level is 9.8 states/eV per cell. The value obtained for the volume is 14.65 Å³ per atom.


Entry 5:
First-principles (PBE) data for a relaxed YZnOs2 crystal, as listed in Alexandria.

Cell lengths 4.0100, 4.0100, 8.5750 Å; angles 90.00, 90.00, 90.00 degrees
With the nearest neighbours (Å) after each atom.
Sites, in units of the cell vectors:
1 Y 0.0000 0.0000 0.0000  4 Zn 2.84, 8 Os 2.94
2 Y 0.5000 0.5000 0.5000  4 Zn 2.84, 8 Os 2.94
3 Zn 0.0000 0.0000 0.5000  4 Y 2.84, 8 Os 2.94
4 Zn 0.5000 0.5000 0.0000  4 Y 2.84, 8 Os 2.94
5 Os 0.0000 0.5000 0.2500  4 Os 2.84, 4 Zn 2.94, 4 Y 2.94
6 Os 0.0000 0.5000 0.7500  4 Os 2.84, 4 Zn 2.94, 4 Y 2.94
7 Os 0.5000 0.0000 0.2500  4 Os 2.84, 4 Zn 2.94, 4 Y 2.94
8 Os 0.5000 0.0000 0.7500  4 Os 2.84, 4 Zn 2.94, 4 Y 2.94

Results
For the total magnetic moment, the calculation gives 0.0 μB per cell. The formation energy comes out at 364 meV per atom. The density of states at the Fermi level is 12.0 states/eV per cell. The value obtained for the volume is 17.24 Å³ per atom.


Entry 6:
First-principles (PBE) data for a relaxed Na2Tl3InHg3 crystal, as listed in Alexandria.

Cell lengths 9.1465, 9.1465, 3.4628 Å; angles 90.00, 90.00, 120.00 degrees
With the nearest neighbours (Å) after each atom.
Sites, in units of the cell vectors:
1 Na 0.3333 0.6667 0.0000  3 Tl 3.24, 6 Hg 3.39, 2 Na 3.46
2 Na 0.6667 0.3333 0.0000  3 Tl 3.24, 6 Hg 3.39, 2 Na 3.46
3 Tl 0.0000 0.7051 0.0000  2 In 3.21, 2 Na 3.24, 2 Tl 3.46, 6 Hg 3.53-3.55
4 Tl 0.2949 0.2949 0.0000  2 In 3.21, 2 Na 3.24, 2 Tl 3.46, 6 Hg 3.53-3.55
5 Tl 0.7051 0.0000 0.0000  2 In 3.21, 2 Na 3.24, 2 Tl 3.46, 6 Hg 3.53-3.55
6 In 0.0000 0.0000 0.5000  6 Tl 3.21, 3 Hg 3.34, 2 In 3.46
7 Hg 0.0000 0.3657 0.5000  1 In 3.34, 4 Na 3.39, 2 Hg 3.46, 6 Tl 3.53-3.55
8 Hg 0.3657 0.0000 0.5000  1 In 3.34, 4 Na 3.39, 2 Hg 3.46, 6 Tl 3.53-3.55
9 Hg 0.6343 0.6343 0.5000  1 In 3.34, 4 Na 3.39, 2 Hg 3.46, 6 Tl 3.53-3.55

Results
For the total magnetic moment, the calculation gives 0.0 μB per cell. The formation energy comes out at -85 meV per atom. The density of states at the Fermi level is 3.3 states/eV per cell. The value obtained for the volume is 27.88 Å³ per atom.


Entry 7:
First-principles (PBE) data for a relaxed Y2SbMo crystal, as listed in Alexandria.

Cell lengths 3.5685, 3.5685, 27.4862 Å; angles 90.00, 90.00, 120.00 degrees
With the nearest neighbours (Å) after each atom.
Sites, in units of the cell vectors:
1 Y 0.0000 0.0000 0.2431  3 Mo 2.94, 3 Sb 3.22
2 Y 0.0000 0.0000 0.7569  3 Mo 2.94, 3 Sb 3.22
3 Y 0.3333 0.6667 0.4236  3 Mo 2.94, 3 Sb 3.22
4 Y 0.3333 0.6667 0.9097  3 Mo 2.94, 3 Sb 3.22
5 Y 0.6667 0.3333 0.0903  3 Mo 2.94, 3 Sb 3.22
6 Y 0.6667 0.3333 0.5764  3 Mo 2.94, 3 Sb 3.22
7 Sb 0.0000 0.0000 0.0000  6 Y 3.22, 6 Sb 3.57
8 Sb 0.3333 0.6667 0.6667  6 Y 3.22, 6 Sb 3.57
9 Sb 0.6667 0.3333 0.3333  6 Y 3.22, 6 Sb 3.57
10 Mo 0.0000 0.0000 0.5000  6 Y 2.94
11 Mo 0.3333 0.6667 0.1667  6 Y 2.94
12 Mo 0.6667 0.3333 0.8333  6 Y 2.94

Results
For the total magnetic moment, the calculation gives 0.0 μB per cell. The uncorrected formation energy comes out at 0.08 eV per atom. The density of states at the Fermi level is 17.6 states/eV per cell. The value obtained for the volume is 25.26 Å³ per atom.


Entry 8:
First-principles (PBE) data for a relaxed BeAl4Pt crystal, as listed in Alexandria.

Cell lengths 5.0965, 5.0965, 5.0965 Å; angles 60.00, 60.00, 60.00 degrees
With the nearest neighbours (Å) after each atom.
Sites, in units of the cell vectors:
1 Be 0.0000 0.0000 0.0000  12 Al 2.99, 4 Pt 3.12
2 Al 0.1224 0.6259 0.6259  6 Al 2.53-2.57
3 Al 0.6259 0.1224 0.6259  6 Al 2.53-2.57
4 Al 0.6259 0.6259 0.1224  6 Al 2.53-2.57
5 Al 0.6259 0.6259 0.6259  6 Al 2.53-2.57
6 Pt 0.2500 0.2500 0.2500  12 Al 2.99, 4 Be 3.12

Results
For the total magnetic moment, the calculation gives 0.0 μB per cell. The formation energy comes out at 247 meV per atom. The density of states at the Fermi level is 2.7 states/eV per cell. The value obtained for the volume is 15.60 Å³ per atom.


Entry 9:
First-principles (PBE) data for a relaxed Zr3CuC crystal, as listed in Alexandria.

Cell lengths 7.4810, 7.4810, 3.3828 Å; angles 90.00, 90.00, 108.51 degrees
With the nearest neighbours (Å) after each atom.
Sites, in units of the cell vectors:
1 Zr 0.1803 0.4446 0.5000  2 C 2.28
2 Zr 0.1858 0.8142 0.0000  2 C 2.32
3 Zr 0.4446 0.1803 0.5000  2 C 2.28
4 Zr 0.5554 0.8197 0.5000  2 C 2.28
5 Zr 0.8142 0.1858 0.0000  2 C 2.32
6 Zr 0.8197 0.5554 0.5000  2 C 2.28
7 Cu 0.0000 0.0000 0.5000  4 Zr 2.82
8 Cu 0.5000 0.5000 0.0000  8 Zr 2.85
9 C 0.0000 0.5000 0.0000  6 Zr 2.28-2.32
10 C 0.5000 0.0000 0.0000  6 Zr 2.28-2.32

Results
For the total magnetic moment, the calculation gives 0.0 μB per cell. The formation energy comes out at -336 meV per atom. The density of states at the Fermi level is 8.2 states/eV per cell. Its polymorph energy (0 for the lowest one) is 15.5 meV/atom. The value obtained for the volume is 17.95 Å³ per atom.


Entry 10:
First-principles (PBE) data for a relaxed Ce2CdGaCo crystal, as listed in Alexandria.

Cell lengths 6.9174, 4.6477, 7.5748 Å; angles 90.00, 109.57, 90.00 degrees
With the nearest neighbours (Å) after each atom.
Sites, in units of the cell vectors:
1 Ce 0.1530 0.2500 0.3464  3 Co 2.93-3.10, 2 Ga 3.10, 2 Cd 3.22
2 Ce 0.2658 0.2500 0.9446  1 Co 2.26
3 Ce 0.7342 0.7500 0.0554  1 Co 2.26
4 Ce 0.8470 0.7500 0.6536  3 Co 2.93-3.10, 2 Ga 3.10, 2 Cd 3.22
5 Cd 0.3392 0.7500 0.6503  3 Ga 2.81-3.02
6 Cd 0.6608 0.2500 0.3497  3 Ga 2.81-3.02
7 Ga 0.4172 0.7500 0.2805  1 Co 2.47
8 Ga 0.5828 0.2500 0.7195  1 Co 2.47
9 Co 0.0621 0.7500 0.0588  1 Ce 2.26, 1 Ga 2.47
10 Co 0.9379 0.2500 0.9412  1 Ce 2.26, 1 Ga 2.47

Results
For the total magnetic moment, the calculation gives 1.8 μB per cell. The formation energy comes out at -301 meV per atom. The density of states at the Fermi level is 18.3 states/eV per cell. The value obtained for the volume is 22.95 Å³ per atom.


Entry 11:
First-principles (PBE) data for a relaxed LaTl2NiHg crystal, as listed in Alexandria.

Cell lengths 5.1484, 5.1484, 5.1587 Å; angles 90.00, 90.00, 90.00 degrees
With the nearest neighbours (Å) after each atom.
Sites, in units of the cell vectors:
1 La 0.0000 0.0000 0.0000  2 Ni 2.58
2 Tl 0.0000 0.5000 0.5000  2 Ni 2.57
3 Tl 0.5000 0.0000 0.5000  2 Ni 2.57
4 Ni 0.0000 0.0000 0.5000  4 Tl 2.57, 2 La 2.58
5 Hg 0.5000 0.5000 0.0000  4 La 3.64, 8 Tl 3.64

Results
For the total magnetic moment, the calculation gives 0.0 μB per cell. The formation energy comes out at -197 meV per atom. The density of states at the Fermi level is 4.0 states/eV per cell. The value obtained for the volume is 27.35 Å³ per atom.


Entry 12:
First-principles (PBE) data for a relaxed LiFePt2 crystal, as listed in Alexandria.

Cell lengths 2.6887, 4.6980, 10.0744 Å; angles 90.00, 90.00, 90.00 degrees
With the nearest neighbours (Å) after each atom.
Sites, in units of the cell vectors:
1 Li 0.0000 0.0000 0.0000  2 Pt 2.62, 2 Li 2.69, 4 Fe 2.71
2 Li 0.5000 0.5000 0.5000  2 Pt 2.62, 2 Li 2.69, 4 Fe 2.71
3 Fe 0.0000 0.0000 0.5000  2 Pt 2.41, 2 Fe 2.69
4 Fe 0.5000 0.5000 0.0000  2 Pt 2.41, 2 Fe 2.69
5 Pt 0.0000 0.0000 0.2603  1 Fe 2.41, 1 Li 2.62, 2 Pt 2.69
6 Pt 0.0000 0.0000 0.7397  1 Fe 2.41, 1 Li 2.62, 2 Pt 2.69
7 Pt 0.5000 0.5000 0.2397  1 Fe 2.41, 1 Li 2.62, 2 Pt 2.69
8 Pt 0.5000 0.5000 0.7603  1 Fe 2.41, 1 Li 2.62, 2 Pt 2.69

Results
For the total magnetic moment, the calculation gives 6.6 μB per cell. The formation energy comes out at 105 meV per atom. The density of states at the Fermi level is 5.5 states/eV per cell. The value obtained for the volume is 15.91 Å³ per atom.


Entry 13:
First-principles (PBE) data for a relaxed K5RbF6 crystal, as listed in Alexandria.

Cell lengths 6.6924, 6.6924, 6.6939 Å; angles 99.62, 99.62, 119.98 degrees
With the nearest neighbours (Å) after each atom.
Sites, in units of the cell vectors:
1 K 0.0000 0.0000 0.0000  6 F 2.67-2.74
2 K 0.1665 0.8335 0.5000  6 F 2.72-2.73
3 K 0.3328 0.6672 0.0000  6 F 2.67-2.74
4 K 0.6672 0.3328 0.0000  6 F 2.67-2.74
5 K 0.8335 0.1665 0.5000  6 F 2.72-2.73
6 Rb 0.5000 0.5000 0.5000  6 F 2.79-2.80
7 F 0.0744 0.4156 0.2468  5 K 2.67-2.74, 1 Rb 2.79
8 F 0.2441 0.2441 0.7560  5 K 2.67-2.74, 1 Rb 2.80
9 F 0.4156 0.0744 0.2468  5 K 2.67-2.74, 1 Rb 2.79
10 F 0.5844 0.9256 0.7532  5 K 2.67-2.74, 1 Rb 2.79
11 F 0.7559 0.7559 0.2440  5 K 2.67-2.74, 1 Rb 2.80
12 F 0.9256 0.5844 0.7532  5 K 2.67-2.74, 1 Rb 2.79

Results
For the total magnetic moment, the calculation gives 0.5 μB per cell. The uncorrected formation energy comes out at -2.72 eV per atom. The density of states at the Fermi level is 0.0 states/eV per cell. The value obtained for the volume is 20.40 Å³ per atom.


Entry 14:
First-principles (PBE) data for a relaxed LiAc2S3 crystal, as listed in Alexandria.

Cell lengths 6.7140, 6.7140, 7.4734 Å; angles 105.72, 105.72, 70.87 degrees
With the nearest neighbours (Å) after each atom.
Sites, in units of the cell vectors:
1 Li 0.0939 0.9061 0.7500  3 S 2.29-2.33
2 Li 0.9061 0.0939 0.2500  3 S 2.29-2.33
3 Ac 0.1510 0.5445 0.3322  6 S 2.99-3.18
4 Ac 0.4555 0.8490 0.1678  6 S 2.99-3.18
5 Ac 0.5445 0.1510 0.8322  6 S 2.99-3.18
6 Ac 0.8490 0.4555 0.6678  6 S 2.99-3.18
7 S 0.1203 0.2090 0.9762  1 Li 2.29
8 S 0.2090 0.1203 0.4762  1 Li 2.29
9 S 0.3938 0.6062 0.7500  1 Li 2.33
10 S 0.6062 0.3938 0.2500  1 Li 2.33
11 S 0.7910 0.8797 0.5238  1 Li 2.29
12 S 0.8797 0.7910 0.0238  1 Li 2.29

Results
For the total magnetic moment, the calculation gives 0.0 μB per cell. The uncorrected formation energy comes out at -1.76 eV per atom. The density of states at the Fermi level is 3.9 states/eV per cell. Its polymorph energy (0 for the lowest one) is 162.6 meV/atom. The value obtained for the volume is 25.01 Å³ per atom.